[1]
Computed, not measured: a relaxed structure of AcBi3Pt3 at the PBE level of DFT.

a = 7.5543 Å, b = 7.5543 Å, c = 7.5543 Å
α = 90.00°, β = 90.00°, γ = 90.00°
Sites, in units of the cell vectors:
Ac1 0.5000 0.5000 0.5000
Ac2 0.0000 0.0000 0.0000
Bi1 0.2500 0.0000 0.5000
Bi2 0.0000 0.5000 0.2500
Bi3 0.5000 0.7500 0.0000
Bi4 0.7500 0.0000 0.5000
Bi5 0.0000 0.5000 0.7500
Bi6 0.5000 0.2500 0.0000
Pt1 0.0000 0.2500 0.5000
Pt2 0.0000 0.7500 0.5000
Pt3 0.5000 0.0000 0.7500
Pt4 0.7500 0.5000 0.0000
Pt5 0.5000 0.0000 0.2500
Pt6 0.2500 0.5000 0.0000

Output
Calculated formation energy in eV/atom: -0.19
E_tot in eV per atom: -5.025

[2]
Computed, not measured: a relaxed structure of NaSr2Cd at the PBE level of DFT.

a = 4.2873 Å, b = 4.2873 Å, c = 11.3307 Å
α = 79.09°, β = 79.09°, γ = 60.00°
Sites, in units of the cell vectors:
Na1 0.5003 0.5003 0.4991
Sr1 0.0706 0.0706 0.7883
Sr2 0.2626 0.2626 0.2122
Cd1 0.6665 0.6665 0.0004

Output
Calculated formation energy in eV/atom: -0.05
E_tot in eV per atom: -1.449

[3]
Computed, not measured: a relaxed structure of SmSc2Ni at the PBE level of DFT.

a = 3.3443 Å, b = 3.3443 Å, c = 10.2577 Å
α = 80.62°, β = 80.62°, γ = 60.00°
Sites, in units of the cell vectors:
Sc1 0.1104 0.1104 0.6688
Sc2 0.8896 0.8896 0.3312
Ni1 0.5000 0.5000 0.5000
Sm1 0.0000 0.0000 0.0000

Output
Calculated formation energy in eV/atom: 0.07
E_tot in eV per atom: -5.718
Excess energy over the best structure of this formula in the dataset in meV per atom: 305

[4]
Computed, not measured: a relaxed structure of Mn2CrH at the PBE level of DFT.

a = 4.1307 Å, b = 4.3896 Å, c = 7.7446 Å
α = 90.00°, β = 90.00°, γ = 90.00°
Sites, in units of the cell vectors:
Mn1 0.7624 0.9180 0.9149
Mn2 0.2376 0.0820 0.0851
Mn3 0.2624 0.5820 0.5852
Mn4 0.7376 0.4180 0.4148
Mn5 0.7624 0.4180 0.0851
Mn6 0.2376 0.5820 0.9149
Mn7 0.2624 0.0820 0.4148
Mn8 0.7376 0.9180 0.5852
Cr1 0.2500 0.5607 0.2500
Cr2 0.7500 0.4393 0.7500
Cr3 0.7500 0.9393 0.2500
Cr4 0.2500 0.0607 0.7500
H1 0.0000 0.2500 0.5822
H2 0.0000 0.7500 0.4178
H3 0.5000 0.2500 0.9177
H4 0.5000 0.7500 0.0823

Output
E_tot in eV per atom: -7.773
Excess energy over the best structure of this formula in the dataset in meV per atom: 4

[5]
Computed, not measured: a relaxed structure of Tb4Dy3PuS8 at the PBE level of DFT.

a = 7.8416 Å, b = 7.8440 Å, c = 7.8414 Å
α = 119.99°, β = 120.00°, γ = 90.00°
Sites, in units of the cell vectors:
Tb1 0.5000 0.0000 0.0000
Tb2 0.5000 0.0000 0.5000
Tb3 0.0000 0.0000 0.0000
Tb4 0.0000 0.0000 0.5000
Dy1 0.5000 0.5000 0.0000
Dy2 0.5000 0.5000 0.5000
Dy3 0.0000 0.5000 0.5000
Pu1 0.0000 0.5000 0.0000
S1 0.2505 0.7492 0.9986
S2 0.2505 0.7491 0.5010
S3 0.2507 0.2521 0.5014
S4 0.7481 0.7492 0.9986
S5 0.2519 0.2508 0.0014
S6 0.7493 0.7479 0.4986
S7 0.7495 0.2509 0.4990
S8 0.7495 0.2508 0.0014

Output
E_tot in eV per atom: -6.967
Formation energy without anion corrections in eV per atom: -1.9866

[6]
Computed, not measured: a relaxed structure of TaZn2Te at the PBE level of DFT.

a = 5.2166 Å, b = 5.2166 Å, c = 5.2166 Å
α = 133.82°, β = 133.82°, γ = 67.36°
Sites, in units of the cell vectors:
Ta1 0.5000 0.5000 0.0000
Te1 0.7500 0.2500 0.5000
Zn1 0.0000 0.0000 0.0000
Zn2 0.2500 0.7500 0.5000

Output
E_tot in eV per atom: -4.147
Formation energy without anion corrections in eV per atom: 0.2385

What are the total magnetization values for these records? In order: 0.0; 0.0; 0.0; 0.0; 5.7; 0.0 μB/cell.